ScSi2Ru | GGA-PBE | relaxed

a = 4.210 Å, b = 4.210 Å, c = 5.445 Å
α = 79.53°, β = 79.53°, γ = 42.72°
Element x y z (fractional)
Ru  0.750  0.750  0.750
Sc  0.250  0.250  0.250
Si  0.013  0.013  0.936
Si  0.487  0.487  0.564

Calculated values
The value obtained for the density of states at the Fermi level is 2.1 states/eV/cell. Its raw formation energy is -2.33 eV/f.u. The volume comes out at 64.2 Å³/f.u.